The following is a DFT calculation (PBE) of a relaxed structure of LiYErTc.

As for the crystal system: cubic. The formation energy is -0.034 eV/atom.

The structure belongs to space group F-43m (No. 216); the cell edges are 6.962, 6.962 and 6.962 Å and the angles 90.00°, 90.00° and 90.00°. The asymmetric unit holds Li at (0.000, 0.000, 0.000), Y at (0.250, 0.250, 0.750), Er at (0.250, 0.250, 0.250) and Tc at (0.000, 0.000, 0.500).